VASP calculation (meta-GGA SCAN) on Ca2CoBr at its PBEsol-relaxed geometry.

abc: 4.1038 4.1038 5.8050
angles: 90.00 90.00 90.00
Fractional positions:
Ca (0.0000, 0.0000, 0.0000)
Ca (0.5000, 0.5000, 0.4323)
Co (0.0000, 0.0000, 0.4368)
Br (0.5000, 0.5000, 0.9262)

## Properties
E_form (uncorrected), meV per atom: -378
Spin magnetization, μB per cell: 0.86
Energy relative to the lowest polymorph listed for this composition, meV/atom: 0

VASP calculation (meta-GGA SCAN) on CaCoBr at its PBEsol-relaxed geometry.

abc: 5.8238 5.8238 3.4385
angles: 90.89 90.89 33.93
Fractional positions:
Ca (0.0000, 0.0000, 0.0000)
Co (0.3364, 0.3364, 0.4945)
Br (0.6729, 0.6729, 0.5077)

## Properties
E_form (uncorrected), meV per atom: -298
Spin magnetization, μB per cell: 1.94

VASP calculation (meta-GGA SCAN) on Ca2CoBr at its PBEsol-relaxed geometry.

abc: 5.0811 5.0811 3.3632
angles: 90.00 90.00 90.00
Fractional positions:
Ca (0.0000, 0.5000, 0.0000)
Ca (0.5000, 0.0000, 0.0000)
Co (0.0000, 0.0000, 0.5000)
Br (0.5000, 0.5000, 0.5000)

## Properties
E_form (uncorrected), meV per atom: -351
Spin magnetization, μB per cell: 1.18
Energy relative to the lowest polymorph listed for this composition, meV/atom: 28

VASP calculation (meta-GGA SCAN) on CaCoBr at its PBEsol-relaxed geometry.

abc: 4.8617 4.8617 4.8617
angles: 60.00 60.00 60.00
Fractional positions:
Ca (0.0000, 0.0000, 0.0000)
Co (0.7500, 0.7500, 0.7500)
Br (0.2500, 0.2500, 0.2500)

## Properties
E_form (uncorrected), meV per atom: -234
Spin magnetization, μB per cell: 2.00

VASP calculation (meta-GGA SCAN) on CaCoBr2 at its PBEsol-relaxed geometry.

abc: 5.6001 5.6001 4.8462
angles: 90.55 90.55 38.94
Fractional positions:
Ca (0.0000, 0.0000, 0.0000)
Co (0.3040, 0.3040, 0.1831)
Br (0.4694, 0.4694, 0.4931)
Br (0.7233, 0.7233, 0.9595)

## Properties
E_form (uncorrected), meV per atom: -746
Spin magnetization, μB per cell: 1.00
Energy relative to the lowest polymorph listed for this composition, meV/atom: 22

VASP calculation (meta-GGA SCAN) on CaCoBr2 at its PBEsol-relaxed geometry.

abc: 3.5035 3.5035 7.3020
angles: 90.00 90.00 90.00
Fractional positions:
Ca (0.0000, 0.0000, 0.0000)
Co (0.5000, 0.5000, 0.2998)
Br (0.0000, 0.0000, 0.3858)
Br (0.5000, 0.5000, 0.7840)

## Properties
E_form (uncorrected), meV per atom: -768
Spin magnetization, μB per cell: 1.04
Energy relative to the lowest polymorph listed for this composition, meV/atom: 0

VASP calculation (meta-GGA SCAN) on CaCoSe2Br at its PBEsol-relaxed geometry.

abc: 5.3608 5.3608 5.3125
angles: 90.00 90.00 90.00
Fractional positions:
Ca (0.0000, 0.0000, 0.0000)
Co (0.5000, 0.5000, 0.5000)
Se (0.0000, 0.5000, 0.0000)
Se (0.5000, 0.0000, 0.0000)
Br (0.0000, 0.0000, 0.5000)

## Properties
E_form (uncorrected), meV per atom: 176
Spin magnetization, μB per cell: 2.20

VASP calculation (meta-GGA SCAN) on CaCrBr2 at its PBEsol-relaxed geometry.

abc: 3.6331 3.6331 7.3151
angles: 90.00 90.00 90.00
Fractional positions:
Ca (0.0000, 0.0000, 0.0000)
Cr (0.0000, 0.0000, 0.5000)
Br (0.5000, 0.5000, 0.2296)
Br (0.5000, 0.5000, 0.7704)

## Properties
E_form (uncorrected), meV per atom: -797
Spin magnetization, μB per cell: 5.97
Energy relative to the lowest polymorph listed for this composition, meV/atom: 126

VASP calculation (meta-GGA SCAN) on Ca2CrBr at its PBEsol-relaxed geometry.

abc: 3.5874 3.5874 9.2111
angles: 90.00 90.00 90.00
Fractional positions:
Ca (0.0000, 0.0000, 0.0000)
Ca (0.5000, 0.5000, 0.3317)
Cr (0.0000, 0.0000, 0.5549)
Br (0.5000, 0.5000, 0.8250)

## Properties
E_form (uncorrected), meV per atom: -295
Spin magnetization, μB per cell: 5.01

VASP calculation (meta-GGA SCAN) on CaCr3Br at its PBEsol-relaxed geometry.

abc: 4.5719 4.5719 4.5719
angles: 90.00 90.00 90.00
Fractional positions:
Ca (0.0000, 0.0000, 0.0000)
Cr (0.0000, 0.5000, 0.5000)
Cr (0.5000, 0.0000, 0.5000)
Cr (0.5000, 0.5000, 0.0000)
Br (0.5000, 0.5000, 0.5000)

## Properties
E_form (uncorrected), meV per atom: 955
Spin magnetization, μB per cell: 10.78

VASP calculation (meta-GGA SCAN) on CaCr2Br at its PBEsol-relaxed geometry.

abc: 5.1031 5.1031 5.1031
angles: 60.00 60.00 60.00
Fractional positions:
Ca (0.0000, 0.0000, 0.0000)
Cr (0.5000, 0.5000, 0.5000)
Cr (0.7500, 0.7500, 0.7500)
Br (0.2500, 0.2500, 0.2500)

## Properties
E_form (uncorrected), meV per atom: 319
Spin magnetization, μB per cell: 10.67
Energy relative to the lowest polymorph listed for this composition, meV/atom: 249

VASP calculation (meta-GGA SCAN) on CaCrBr2 at its PBEsol-relaxed geometry.

abc: 8.9266 8.9266 8.9266
angles: 25.82 25.82 25.82
Fractional positions:
Ca (0.0000, 0.0000, 0.0000)
Cr (0.5000, 0.5000, 0.5000)
Br (0.1109, 0.1109, 0.1109)
Br (0.8891, 0.8891, 0.8891)

## Properties
E_form (uncorrected), meV per atom: -754
Spin magnetization, μB per cell: 4.55
Energy relative to the lowest polymorph listed for this composition, meV/atom: 169